Entry 1:
DFT (GGA-PBE) results for crystalline LiCd2Pb2 at its relaxed geometry.

Cell lengths 7.6362, 7.6362, 7.6362 Å; angles 144.36, 144.36, 51.28 degrees
Last column: nearest neighbours and their distance in Å.
Fractional coordinates of all 5 atoms:
1 Li 0.0000 0.0000 0.0000  8 Cd 3.57
2 Cd 0.4016 0.4016 0.0000  1 Cd 2.71
3 Cd 0.5984 0.5984 0.0000  1 Cd 2.71
4 Pb 0.2500 0.7500 0.5000  4 Cd 3.13, 4 Pb 3.30
5 Pb 0.7500 0.2500 0.5000  4 Cd 3.13, 4 Pb 3.30

Output
N(E_F) = 0.34 states/eV/atom
calculated total energy = -10.9 eV/cell
spin magnetization = 0.00 μB per formula unit
space group = I4/mmm
formation enthalpy at 0 K = 5 kJ per mole of atoms

***

Entry 2:
DFT (GGA-PBE) results for crystalline LiCd4Pb at its relaxed geometry.

Cell lengths 3.2176, 3.9216, 10.9726 Å; angles 90.00, 90.19, 90.00 degrees
Last column: nearest neighbours and their distance in Å.
Fractional coordinates of all 6 atoms:
1 Li 0.0000 0.0000 0.0000  10 Cd 2.95-3.23, 2 Li 3.22
2 Cd 0.0029 0.0000 0.2943  6 Cd 3.06-3.22, 1 Li 3.23, 4 Pb 3.39-3.40
3 Cd 0.4980 0.5000 0.8622  4 Li 2.95, 7 Cd 3.02-3.22
4 Cd 0.5020 0.5000 0.1378  4 Li 2.95, 7 Cd 3.02-3.22
5 Cd 0.9971 0.0000 0.7057  6 Cd 3.06-3.22, 1 Li 3.23, 4 Pb 3.39-3.40
6 Pb 0.5000 0.5000 0.5000  2 Pb 3.22, 8 Cd 3.39-3.40

Output
N(E_F) = 0.48 states/eV/atom
calculated total energy = -9.7 eV/cell
spin magnetization = 0.00 μB per formula unit
space group = P2/m
formation enthalpy at 0 K = -6 kJ per mole of atoms

***

Entry 3:
DFT (GGA-PBE) results for crystalline LiCd2Pb2 at its relaxed geometry.

Cell lengths 4.7139, 5.4336, 5.7859 Å; angles 77.07, 69.51, 65.75 degrees
Last column: nearest neighbours and their distance in Å.
Fractional coordinates of all 5 atoms:
1 Li 0.0000 0.0000 0.0000  6 Pb 3.12-3.30, 4 Cd 3.21-3.33
2 Cd 0.1911 0.1893 0.4171  3 Cd 3.06-3.29, 2 Li 3.21-3.33, 5 Pb 3.22-3.39
3 Cd 0.8089 0.8107 0.5829  3 Cd 3.06-3.29, 2 Li 3.21-3.33, 5 Pb 3.22-3.39
4 Pb 0.3910 0.3854 0.8116  3 Li 3.12-3.30, 5 Cd 3.22-3.39, 3 Pb 3.35-3.47
5 Pb 0.6090 0.6146 0.1884  3 Li 3.12-3.30, 5 Cd 3.22-3.39, 3 Pb 3.35-3.47

Output
N(E_F) = 0.25 states/eV/atom
calculated total energy = -11.5 eV/cell
spin magnetization = 0.00 μB per formula unit
space group = P-1
formation enthalpy at 0 K = -7 kJ per mole of atoms

***

Entry 4:
DFT (GGA-PBE) results for crystalline Li2CdPb2 at its relaxed geometry.

Cell lengths 10.0363, 10.0363, 4.8491 Å; angles 91.65, 91.65, 28.11 degrees
Last column: nearest neighbours and their distance in Å.
Fractional coordinates of all 10 atoms:
1 Li 0.1631 0.6721 0.7427  4 Cd 2.90-2.92, 4 Pb 3.07-3.11, 1 Li 3.21
2 Li 0.3279 0.8369 0.7573  4 Cd 2.90-2.92, 4 Pb 3.07-3.11, 1 Li 3.21
3 Li 0.6721 0.1631 0.2427  4 Cd 2.90-2.92, 4 Pb 3.07-3.11, 1 Li 3.21
4 Li 0.8369 0.3279 0.2573  4 Cd 2.90-2.92, 4 Pb 3.07-3.11, 1 Li 3.21
5 Cd 0.2561 0.7439 0.2500  8 Li 2.90-2.92
6 Cd 0.7439 0.2561 0.7500  8 Li 2.90-2.92
7 Pb 0.0705 0.5676 0.2357  4 Li 3.07-3.11, 2 Pb 3.43
8 Pb 0.4324 0.9295 0.2643  4 Li 3.07-3.11, 2 Pb 3.43
9 Pb 0.5676 0.0705 0.7357  4 Li 3.07-3.11, 2 Pb 3.43
10 Pb 0.9295 0.4324 0.7643  4 Li 3.07-3.11, 2 Pb 3.43

Output
N(E_F) = 0.44 states/eV/atom
calculated total energy = -25.9 eV/cell
spin magnetization = 0.00 μB per formula unit
space group = C2/c
formation enthalpy at 0 K = -16 kJ per mole of atoms

***

Entry 5:
DFT (GGA-PBE) results for crystalline Li2Cd3Pb2 at its relaxed geometry.

Cell lengths 4.9960, 4.9960, 7.9647 Å; angles 108.44, 108.44, 60.29 degrees
Last column: nearest neighbours and their distance in Å.
Fractional coordinates of all 7 atoms:
1 Li 0.2250 0.2250 0.1698  4 Pb 2.93-3.01, 4 Cd 2.95-3.16
2 Li 0.7750 0.7750 0.8302  4 Pb 2.93-3.01, 4 Cd 2.95-3.16
3 Cd 0.3553 0.3553 0.5677  1 Li 2.95, 4 Cd 3.06-3.20, 3 Pb 3.23-3.24
4 Cd 0.5000 0.5000 0.0000  6 Li 3.13-3.16, 2 Cd 3.20, 6 Pb 3.37-3.38
5 Cd 0.6447 0.6447 0.4323  1 Li 2.95, 4 Cd 3.06-3.20, 3 Pb 3.23-3.24
6 Pb 0.0870 0.0870 0.7641  4 Li 2.93-3.01, 3 Cd 3.23-3.24
7 Pb 0.9130 0.9130 0.2359  4 Li 2.93-3.01, 3 Cd 3.23-3.24

Output
N(E_F) = 0.29 states/eV/atom
calculated total energy = -14.7 eV/cell
spin magnetization = 0.00 μB per formula unit
space group = C2/m
formation enthalpy at 0 K = -10 kJ per mole of atoms

***

Entry 6:
DFT (GGA-PBE) results for crystalline Li12Cd6Pb at its relaxed geometry.

Cell lengths 7.3758, 7.3758, 7.3758 Å; angles 101.39, 101.39, 101.39 degrees
Last column: nearest neighbours and their distance in Å.
Fractional coordinates of all 19 atoms:
1 Li 0.0000 0.2541 0.7459  4 Cd 2.79-3.07, 1 Pb 2.90, 6 Li 2.90-3.11
2 Li 0.0000 0.7459 0.2541  4 Cd 2.79-3.07, 1 Pb 2.90, 6 Li 2.90-3.11
3 Li 0.1823 0.5860 0.5860  5 Li 2.67-2.95, 1 Cd 2.96
4 Li 0.2541 0.0000 0.7459  4 Cd 2.79-3.07, 1 Pb 2.90, 6 Li 2.90-3.11
5 Li 0.2541 0.7459 0.0000  4 Cd 2.79-3.07, 6 Li 2.90-3.11, 1 Pb 2.90
6 Li 0.4140 0.4140 0.8177  5 Li 2.67-2.95, 1 Cd 2.96
7 Li 0.4140 0.8177 0.4140  5 Li 2.67-2.95, 1 Cd 2.96
8 Li 0.5860 0.1823 0.5860  5 Li 2.67-2.95, 1 Cd 2.96
9 Li 0.5860 0.5860 0.1823  5 Li 2.67-2.95, 1 Cd 2.96
10 Li 0.7459 0.0000 0.2541  4 Cd 2.79-3.07, 6 Li 2.90-3.11, 1 Pb 2.90
11 Li 0.7459 0.2541 0.0000  4 Cd 2.79-3.07, 6 Li 2.90-3.11, 1 Pb 2.90
12 Li 0.8177 0.4140 0.4140  5 Li 2.67-2.95, 1 Cd 2.96
13 Cd 0.1722 0.1722 0.4451  7 Li 2.79-3.07, 2 Cd 3.12
14 Cd 0.1722 0.4451 0.1722  7 Li 2.79-3.07, 2 Cd 3.12
15 Cd 0.4451 0.1722 0.1722  7 Li 2.79-3.07, 2 Cd 3.12
16 Cd 0.5549 0.8278 0.8278  7 Li 2.79-3.07, 2 Cd 3.12
17 Cd 0.8278 0.5549 0.8278  7 Li 2.79-3.07, 2 Cd 3.12
18 Cd 0.8278 0.8278 0.5549  7 Li 2.79-3.07, 2 Cd 3.12
19 Pb 0.0000 0.0000 0.0000  6 Li 2.90, 6 Cd 3.17

Output
N(E_F) = 0.34 states/eV/atom
calculated total energy = -35.2 eV/cell
spin magnetization = 0.00 μB per formula unit
space group = R-3m
formation enthalpy at 0 K = -15 kJ per mole of atoms

***

Entry 7:
DFT (GGA-PBE) results for crystalline Li3CdPb at its relaxed geometry.

Cell lengths 4.9802, 4.9802, 4.9802 Å; angles 90.00, 90.00, 90.00 degrees
Last column: nearest neighbours and their distance in Å.
Fractional coordinates of all 5 atoms:
1 Li 0.0000 0.0000 0.5000  2 Cd 2.49
2 Li 0.0000 0.5000 0.0000  2 Cd 2.49
3 Li 0.5000 0.0000 0.0000  2 Cd 2.49
4 Cd 0.0000 0.0000 0.0000  6 Li 2.49
5 Pb 0.5000 0.5000 0.5000  12 Li 3.52

Output
N(E_F) = 0.37 states/eV/atom
calculated total energy = -10.0 eV/cell
spin magnetization = 0.00 μB per formula unit
space group = Pm-3m
formation enthalpy at 0 K = 8 kJ per mole of atoms

***

Entry 8:
DFT (GGA-PBE) results for crystalline Li2CdPb6 at its relaxed geometry.

Cell lengths 7.6407, 7.6407, 11.1462 Å; angles 118.89, 118.89, 26.32 degrees
Last column: nearest neighbours and their distance in Å.
Fractional coordinates of all 9 atoms:
1 Li 0.1382 0.1382 0.2476  2 Cd 3.04, 7 Pb 3.05-3.21
2 Li 0.8618 0.8618 0.7524  2 Cd 3.04, 7 Pb 3.05-3.21
3 Cd 0.5000 0.5000 0.0000  4 Li 3.04, 4 Pb 3.12-3.23
4 Pb 0.1659 0.1659 0.5376  3 Li 3.05-3.21, 1 Pb 3.34
5 Pb 0.2607 0.2607 0.8794  2 Li 3.07, 1 Cd 3.12, 3 Pb 3.34-3.35
6 Pb 0.4689 0.4689 0.2666  2 Li 3.15, 1 Cd 3.23, 6 Pb 3.44-3.48
7 Pb 0.5311 0.5311 0.7334  2 Li 3.15, 1 Cd 3.23, 6 Pb 3.44-3.48
8 Pb 0.7393 0.7393 0.1206  2 Li 3.07, 1 Cd 3.12, 3 Pb 3.34-3.35
9 Pb 0.8341 0.8341 0.4624  3 Li 3.05-3.21, 1 Pb 3.34

Output
N(E_F) = 0.53 states/eV/atom
calculated total energy = -27.4 eV/cell
spin magnetization = 0.00 μB per formula unit
space group = C2/m
formation enthalpy at 0 K = -5 kJ per mole of atoms

***

Entry 9:
DFT (GGA-PBE) results for crystalline Li2Cd6Pb at its relaxed geometry.

Cell lengths 7.2346, 7.2346, 7.0003 Å; angles 109.42, 109.42, 35.31 degrees
Last column: nearest neighbours and their distance in Å.
Fractional coordinates of all 9 atoms:
1 Li 0.0553 0.0553 0.3265  9 Cd 3.02-3.26, 2 Pb 3.07, 1 Li 3.29
2 Li 0.9447 0.9447 0.6735  9 Cd 3.02-3.26, 2 Pb 3.07, 1 Li 3.29
3 Cd 0.1679 0.1679 0.9873  8 Cd 3.09-3.26, 2 Li 3.09-3.26, 2 Pb 3.21
4 Cd 0.2708 0.2708 0.6596  8 Cd 3.04-3.19, 3 Li 3.07-3.23, 1 Pb 3.23
5 Cd 0.3920 0.3920 0.3565  7 Cd 2.95-3.26, 4 Li 3.02-3.20
6 Cd 0.6080 0.6080 0.6435  7 Cd 2.95-3.26, 4 Li 3.02-3.20
7 Cd 0.7292 0.7292 0.3404  8 Cd 3.04-3.19, 3 Li 3.07-3.23, 1 Pb 3.23
8 Cd 0.8321 0.8321 0.0127  8 Cd 3.09-3.26, 2 Li 3.09-3.26, 2 Pb 3.21
9 Pb 0.5000 0.5000 0.0000  4 Li 3.07, 8 Cd 3.21-3.32

Output
N(E_F) = 0.31 states/eV/atom
calculated total energy = -14.0 eV/cell
spin magnetization = 0.00 μB per formula unit
space group = C2/m
formation enthalpy at 0 K = -11 kJ per mole of atoms

***

Entry 10:
DFT (GGA-PBE) results for crystalline LiCdPb at its relaxed geometry.

Cell lengths 4.8130, 4.8130, 3.5770 Å; angles 90.00, 90.00, 120.00 degrees
Last column: nearest neighbours and their distance in Å.
Fractional coordinates of all 3 atoms:
1 Li 0.0000 0.0000 0.0000  3 Cd 2.83, 3 Pb 3.16
2 Cd 0.3333 0.6667 0.8549  3 Li 2.83
3 Pb 0.6667 0.3333 0.4225  6 Li 3.16-3.46, 6 Cd 3.18-3.44

Output
N(E_F) = 0.52 states/eV/atom
calculated total energy = -6.8 eV/cell
spin magnetization = 0.00 μB per formula unit
space group = P3m1
formation enthalpy at 0 K = -9 kJ per mole of atoms

***

Entry 11:
DFT (GGA-PBE) results for crystalline LiCd2Pb8 at its relaxed geometry.

Cell lengths 8.1538, 8.1538, 5.1073 Å; angles 90.44, 90.44, 105.09 degrees
Last column: nearest neighbours and their distance in Å.
Fractional coordinates of all 11 atoms:
1 Li 0.0000 0.0000 0.0000  12 Pb 3.16-3.53
2 Cd 0.3837 0.6163 0.5000  1 Cd 3.01, 4 Pb 3.13-3.24
3 Cd 0.6163 0.3837 0.5000  1 Cd 3.01, 4 Pb 3.13-3.24
4 Pb 0.0420 0.3062 0.5038  1 Cd 3.24, 7 Pb 3.40-3.45, 2 Li 3.52-3.53
5 Pb 0.2440 0.7560 0.0000  2 Cd 3.13, 1 Li 3.16, 4 Pb 3.40-3.41
6 Pb 0.3062 0.0420 0.5038  1 Cd 3.24, 7 Pb 3.40-3.45, 2 Li 3.52-3.53
7 Pb 0.3279 0.3279 0.0056  1 Li 3.25, 4 Cd 3.38-3.46, 5 Pb 3.42-3.44
8 Pb 0.6721 0.6721 0.9944  1 Li 3.25, 4 Cd 3.38-3.46, 5 Pb 3.42-3.44
9 Pb 0.6938 0.9580 0.4962  1 Cd 3.24, 7 Pb 3.40-3.45, 2 Li 3.52-3.53
10 Pb 0.7560 0.2440 0.0000  2 Cd 3.13, 1 Li 3.16, 4 Pb 3.40-3.41
11 Pb 0.9580 0.6938 0.4962  1 Cd 3.24, 7 Pb 3.40-3.45, 2 Li 3.52-3.53

Output
N(E_F) = 0.58 states/eV/atom
calculated total energy = -33.1 eV/cell
spin magnetization = 0.00 μB per formula unit
space group = C2/m
formation enthalpy at 0 K = 3 kJ per mole of atoms

***

The highest calculated total energy belongs to which entry? LiCdPb